1.
Density functional theory data (PBE) for LiAs2Se after structural relaxation.

Summary:
E_form (uncorrected)	165	meV/atom
space group	I-42d

Lattice parameters (Å, degrees): 7.2243 7.2243 7.2243 132.16 132.16 69.98
Fractional positions:
Li 0.0000 0.0000 0.0000
Li 0.7500 0.2500 0.5000
As 0.1141 0.6250 0.9891
As 0.3750 0.3641 0.4891
As 0.6359 0.1250 0.0109
As 0.8750 0.8859 0.5109
Se 0.2500 0.7500 0.5000
Se 0.5000 0.5000 0.0000

2.
Density functional theory data (PBE) for LiAs2Se after structural relaxation.

Summary:
E_form (uncorrected)	-180	meV/atom
space group	Immm

Lattice parameters (Å, degrees): 6.1508 6.1508 6.1508 145.91 143.48 50.82
Fractional positions:
Li 0.0000 0.0000 0.0000
As 0.2929 0.7929 0.5000
As 0.7071 0.2071 0.5000
Se 0.5000 0.5000 0.0000

3.
Density functional theory data (PBE) for LiAs2Se after structural relaxation.

Summary:
E_form (uncorrected)	-117	meV/atom
space group	Imm2

Lattice parameters (Å, degrees): 6.0217 6.0217 6.0217 144.84 139.85 54.41
Fractional positions:
Li 0.0000 0.0000 0.0000
As 0.5570 0.5570 0.0000
As 0.7227 0.2227 0.5000
Se 0.3438 0.8438 0.5000

4.
Density functional theory data (PBE) for LiAsSe2 after structural relaxation.

Summary:
E_form (uncorrected)	-549	meV/atom
space group	P-1

Lattice parameters (Å, degrees): 5.5878 5.5905 5.7773 86.76 86.87 89.94
Fractional positions:
Li 0.2482 0.2512 0.0002
Li 0.7518 0.7488 0.9998
As 0.2829 0.7831 0.5909
As 0.7171 0.2169 0.4091
Se 0.2488 0.7485 0.9996
Se 0.2637 0.2362 0.4999
Se 0.7363 0.7638 0.5001
Se 0.7512 0.2515 0.0004

Number 3 is which compound?
LiAs2Se